[1]
The following is a PBE calculation of a geometry-optimized ScGa3N structure, from Alexandria via LeMat-Bulk.

Values from the calculation:
**Crystal system**: cubic
**SG**: Pm-3m (221)
**E_form (uncorrected)**: 0.277 eV per atom
**Density of states at the Fermi level**: 4.62 states/eV/f.u.

CIF file:
```
data_ScGa3N
_cell_length_a 4.369
_cell_length_b 4.369
_cell_length_c 4.369
_cell_angle_alpha 90.00
_cell_angle_beta 90.00
_cell_angle_gamma 90.00
_symmetry_space_group_name_H-M 'P 1'
_symmetry_Int_Tables_number 1
_symmetry_space_group_name_Hall 'P 1'
loop_
_atom_site_label
_atom_site_type_symbol
_atom_site_fract_x
_atom_site_fract_y
_atom_site_fract_z
_atom_site_occupancy
Ga1 Ga 0.000 0.000 0.500 1
Ga2 Ga 0.000 0.500 0.000 1
Ga3 Ga 0.500 0.000 0.000 1
Sc1 Sc 0.500 0.500 0.500 1
N1 N 0.000 0.000 0.000 1
```

[2]
The following is a PBE calculation of a geometry-optimized Sc2Ga2N structure, from Alexandria via LeMat-Bulk.

Values from the calculation:
**Crystal system**: tetragonal
**SG**: I4/mmm (139)
**E_form (uncorrected)**: -0.064 eV per atom
**Density of states at the Fermi level**: 2.58 states/eV/f.u.

CIF file:
```
data_Sc2Ga2N
_cell_length_a 3.339
_cell_length_b 3.339
_cell_length_c 7.819
_cell_angle_alpha 77.67
_cell_angle_beta 77.67
_cell_angle_gamma 90.00
_symmetry_space_group_name_H-M 'P 1'
_symmetry_Int_Tables_number 1
_symmetry_space_group_name_Hall 'P 1'
loop_
_atom_site_label
_atom_site_type_symbol
_atom_site_fract_x
_atom_site_fract_y
_atom_site_fract_z
_atom_site_occupancy
Sc1 Sc 0.413 0.413 0.174 1
Sc2 Sc 0.587 0.587 0.826 1
N1 N 0.000 0.000 0.000 1
Ga1 Ga 0.250 0.750 0.500 1
Ga2 Ga 0.750 0.250 0.500 1
```